! SrEuHfMnO6 (PBE with a Hubbard U, optimized geometry); values from VASP
&SYSTEM
  ibrav = 0, nat = 10, ntyp = 5
/
ATOMIC_SPECIES
Sr 87.62 Sr.upf
Eu 151.96 Eu.upf
Hf 178.49 Hf.upf
Mn 54.94 Mn.upf
O 16.00 O.upf
ATOMIC_POSITIONS crystal
Sr 0.750 0.750 0.750
Eu 0.250 0.250 0.250
Hf 0.000 0.000 0.000
Mn 0.500 0.500 0.500
O 0.257 0.743 0.257
O 0.743 0.257 0.743
O 0.257 0.743 0.743
O 0.743 0.257 0.257
O 0.257 0.257 0.743
O 0.743 0.743 0.257
CELL_PARAMETERS angstrom
1.156 3.548 4.245
-1.296 5.481 -0.466
-4.204 2.182 3.084
! **DFT total energy**: -86.447 eV/f.u.
! **ρ**: 7.4 g/cm³